Compound: GaSI2
Source: Alexandria
Functional: PBE-GGA
Structure: optimized geometry

a b c (Å): 5.4179 5.4179 5.4179
angles (deg): 60.00 60.00 60.00
Last column: nearest neighbours and their distance in Å.
Sites, in units of the cell vectors:
Ga 0.5000 0.5000 0.5000  8 I 3.32
I 0.7500 0.7500 0.7500  4 S 3.32, 4 Ga 3.32
S 0.0000 0.0000 0.0000  8 I 3.32
I 0.2500 0.2500 0.2500  4 S 3.32, 4 Ga 3.32

Results
Total moment = 1.83 μB per cell
DFT total energy = -2.07 eV/atom